Entry 1:
BAsS2Br after structural relaxation, computed with PBE.

space group = P4/mmm (123)
energy relative to the elements, uncorrected = 1.98 eV per atom
excess energy over the best structure of this formula in the dataset = 786.8 meV per atom

Lattice parameters (Å, degrees): 4.940 5.072 4.940 90.00 90.00 90.00
Sites, in units of the cell vectors:
Br 0.000 0.000 0.000
B 0.500 0.500 0.500
S 0.500 0.000 0.000
S 0.000 0.000 0.500
As 0.000 0.500 0.000

***

Entry 2:
PuPa2CrN6 after structural relaxation, computed with PBE.

space group = P4mm (99)
energy relative to the elements, uncorrected = -0.94 eV per atom

Lattice parameters (Å, degrees): 5.128 5.287 5.287 90.00 90.00 90.00
Last column: magnetic moment on the atom in μB.
Sites, in units of the cell vectors:
Cr 0.585 0.000 0.000  1.27
Pa 0.988 0.500 0.000  0.38
Pa 0.988 0.000 0.500  0.38
Pu 0.546 0.500 0.500  4.24
N 0.743 0.763 0.237  -0.08
N 0.125 0.500 0.500  -0.14
N 0.245 0.000 0.000  -0.08
N 0.743 0.763 0.763  -0.08
N 0.743 0.237 0.763  -0.08
N 0.743 0.237 0.237  -0.08

***

Entry 3:
AlCo3Au after structural relaxation, computed with PBE.

space group = Pm-3m (221)
E_form = 932 meV per atom
excess energy over the best structure of this formula in the dataset = 0.0 meV per atom

Lattice parameters (Å, degrees): 4.258 4.258 4.258 90.00 90.00 90.00
Last column: magnetic moment on the atom in μB.
Sites, in units of the cell vectors:
Co 0.000 0.000 0.500  1.28
Co 0.000 0.500 0.000  1.30
Co 0.500 0.000 0.000  1.34
Al 0.000 0.000 0.000  -0.07
Au 0.500 0.500 0.500  0.02

***

Entry 4:
BaSc5 after structural relaxation, computed with PBE.

space group = Cm (8)
E_form = 211 meV per atom
excess energy over the best structure of this formula in the dataset = 10.6 meV per atom

Lattice parameters (Å, degrees): 6.452 6.452 8.059 76.24 76.24 31.12
Sites, in units of the cell vectors:
Sc 0.325 0.325 0.357
Sc 0.625 0.625 0.293
Sc 0.944 0.944 0.600
Sc 0.673 0.673 0.651
Sc 0.272 0.272 0.923
Ba 0.995 0.995 0.009

***

Entry 5:
ScNbCl2 after structural relaxation, computed with PBE.

space group = I-42d (122)
energy relative to the elements, uncorrected = -0.43 eV per atom
excess energy over the best structure of this formula in the dataset = 283.8 meV per atom

Lattice parameters (Å, degrees): 4.407 4.407 8.853 75.59 75.59 90.00
Sites, in units of the cell vectors:
Cl 0.875 0.887 0.750
Cl 0.375 0.363 0.750
Cl 0.637 0.125 0.250
Cl 0.113 0.625 0.250
Sc 0.250 0.750 0.500
Sc 0.500 0.500 0.000
Nb 0.000 0.000 0.000
Nb 0.750 0.250 0.500

***

Entry 6:
CsRbBa2Pt after structural relaxation, computed with PBE.

space group = P4/mmm (123)
E_form = -195 meV per atom
excess energy over the best structure of this formula in the dataset = 0.0 meV per atom

Lattice parameters (Å, degrees): 6.333 6.333 7.371 90.00 90.00 90.00
Sites, in units of the cell vectors:
Ba 0.000 0.500 0.000
Ba 0.500 0.000 0.000
Pt 0.000 0.000 0.000
Cs 0.000 0.000 0.500
Rb 0.500 0.500 0.500

***

| no. | magnetic moment (μB per atom) | calculated total energy (eV per atom) |
| --- | --- | --- |
| 1 | 0.000 | -2.27 |
| 2 | 0.600 | -10.23 |
| 3 | 0.729 | -4.74 |
| 4 | 0.000 | -5.39 |
| 5 | 0.000 | -5.45 |
| 6 | 0.000 | -2.54 |